No. 1
Material: BaNd2NiO5
Method: DFT, meta-GGA SCAN
State: single point on PBEsol structure

Calculated values
Total magnetic moment   0.22 μB per atom
Symmetry   Immm (71)
Electronic total energy   -22.323 eV/atom
Density   7.25 g/cm³
Formation energy without anion corrections   -68.83 kcal/mol of atoms

Lattice parameters (Å, degrees): 3.791 5.885 6.772 115.76 106.25 90.00
Site moments in Bohr magnetons follow the coordinates.
Fractional positions:
Ba 0.500 0.500 0.000  -0.01
O 0.143 0.384 0.287  0.06
O 0.857 0.616 0.713  0.06
O 0.143 0.902 0.287  0.06
O 0.857 0.098 0.713  0.06
O 0.500 0.000 0.000  0.07
Nd 0.701 0.201 0.403  0.01
Nd 0.299 0.799 0.597  0.01
Ni 0.000 0.000 0.000  1.65

=====

No. 2
Material: BaNd2PdO5
Method: DFT, meta-GGA SCAN
State: single point on PBEsol structure

Calculated values
Total magnetic moment   0.00 μB per atom
Symmetry   P4/mbm (127)
Electronic total energy   -24.091 eV/atom
Density   7.68 g/cm³
Formation energy without anion corrections   -67.07 kcal/mol of atoms

Lattice parameters (Å, degrees): 5.876 6.714 6.714 90.00 90.00 90.00
Fractional positions:
O 0.750 0.859 0.359
O 0.750 0.641 0.859
O 0.250 0.141 0.641
O 0.500 0.000 0.000
O 0.250 0.859 0.359
O 0.250 0.641 0.859
O 0.750 0.141 0.641
O 0.750 0.359 0.141
O 0.500 0.500 0.500
O 0.250 0.359 0.141
Nd 0.500 0.327 0.827
Nd 0.500 0.173 0.327
Nd 0.500 0.673 0.173
Nd 0.500 0.827 0.673
Ba 0.000 0.500 0.500
Ba 0.000 0.000 0.000
Pd 0.000 0.500 0.000
Pd 0.000 0.000 0.500

=====

No. 3
Material: Ba3NdRu2O9
Method: DFT, meta-GGA SCAN
State: single point on PBEsol structure

Calculated values
Total magnetic moment   0.20 μB per atom
Symmetry   P6_3/mmc (194)
Electronic total energy   -21.638 eV/atom
Density   6.74 g/cm³
Formation energy without anion corrections   -56.28 kcal/mol of atoms

Lattice parameters (Å, degrees): 5.911 5.911 14.688 90.00 90.00 120.00
Site moments in Bohr magnetons follow the coordinates.
Fractional positions:
O 0.821 0.179 0.593  0.09
O 0.821 0.642 0.593  0.09
O 0.508 0.017 0.750  0.09
O 0.179 0.821 0.093  0.09
O 0.492 0.983 0.250  0.09
O 0.179 0.358 0.407  0.09
O 0.358 0.179 0.907  0.09
O 0.821 0.179 0.907  0.09
O 0.358 0.179 0.593  0.09
O 0.508 0.492 0.750  0.09
O 0.821 0.642 0.907  0.09
O 0.179 0.821 0.407  0.09
O 0.492 0.508 0.250  0.09
O 0.179 0.358 0.093  0.09
O 0.017 0.508 0.250  0.09
O 0.642 0.821 0.093  0.09
O 0.642 0.821 0.407  0.09
O 0.983 0.492 0.750  0.09
Ba 0.000 0.000 0.750  0.00
Ba 0.333 0.667 0.603  0.00
Ba 0.667 0.333 0.397  0.00
Ba 0.333 0.667 0.897  0.00
Ba 0.667 0.333 0.103  0.00
Ba 0.000 0.000 0.250  0.00
Nd 0.000 0.000 0.500  -0.02
Nd 0.000 0.000 0.000  -0.02
Ru 0.333 0.667 0.167  0.97
Ru 0.667 0.333 0.667  0.97
Ru 0.333 0.667 0.333  0.97
Ru 0.667 0.333 0.833  0.97

=====

No. 4
Material: Ba3NdV3O12
Method: DFT, meta-GGA SCAN
State: single point on PBEsol structure

Calculated values
Total magnetic moment   0.00 μB per atom
Symmetry   Cm (8)
Electronic total energy   -18.347 eV/atom
Density   5.18 g/cm³
Formation energy without anion corrections   -71.76 kcal/mol of atoms

Lattice parameters (Å, degrees): 5.592 9.410 11.360 93.78 104.25 90.00
Fractional positions:
Nd 0.121 0.338 0.242
Nd 0.489 0.643 0.977
O 0.993 0.725 0.987
O 0.548 0.876 0.096
O 0.502 0.772 0.519
O 0.769 0.476 0.539
O 0.447 0.117 0.894
O 0.815 0.557 0.136
O 0.198 0.537 0.396
O 0.891 0.232 0.783
O 0.118 0.795 0.235
O 0.017 0.303 0.034
O 0.331 0.591 0.661
O 0.018 0.772 0.519
O 0.690 0.475 0.869
O 0.674 0.951 0.348
O 0.989 0.223 0.483
O 0.321 0.557 0.136
O 0.325 0.035 0.650
O 0.859 0.119 0.203
O 0.180 0.475 0.869
O 0.156 0.874 0.814
O 0.651 0.368 0.302
O 0.495 0.223 0.483
O 0.658 0.874 0.814
O 0.345 0.119 0.203
Ba 0.668 0.655 0.336
Ba 0.199 0.996 0.399
Ba 0.804 0.010 0.608
Ba 0.346 0.316 0.692
Ba 0.997 0.015 0.995
Ba 0.861 0.657 0.722
V 0.262 0.661 0.523
V 0.947 0.368 0.893
V 0.725 0.322 0.450
V 0.604 0.018 0.208
V 0.063 0.661 0.127
V 0.397 0.974 0.794

=====

No. 5
Material: Ba2NdWO6
Method: DFT, meta-GGA SCAN
State: single point on PBEsol structure

Calculated values
Total magnetic moment   0.00 μB per atom
Symmetry   Fm-3m (225)
Electronic total energy   -25.978 eV/atom
Density   7.47 g/cm³
Formation energy without anion corrections   -69.23 kcal/mol of atoms

Lattice parameters (Å, degrees): 6.035 6.035 6.035 60.00 60.00 60.00
Fractional positions:
Nd 0.500 0.500 0.500
Ba 0.750 0.750 0.750
Ba 0.250 0.250 0.250
O 0.229 0.771 0.771
O 0.771 0.229 0.771
O 0.771 0.229 0.229
O 0.771 0.771 0.229
O 0.229 0.229 0.771
O 0.229 0.771 0.229
W 0.000 0.000 0.000

=====

No. 6
Material: BaNd2S4
Method: DFT, meta-GGA SCAN
State: single point on PBEsol structure

Calculated values
Total magnetic moment   0.00 μB per atom
Symmetry   Pnma (62)
Electronic total energy   -26.009 eV/atom
Density   5.07 g/cm³
Formation energy without anion corrections   -55.45 kcal/mol of atoms

Lattice parameters (Å, degrees): 4.194 11.722 14.766 90.00 90.00 90.00
Fractional positions:
S 0.250 0.649 0.509
S 0.750 0.059 0.414
S 0.750 0.002 0.780
S 0.250 0.724 0.816
S 0.750 0.776 0.316
S 0.250 0.998 0.220
S 0.750 0.559 0.086
S 0.250 0.149 0.991
S 0.750 0.276 0.184
S 0.750 0.351 0.491
S 0.250 0.441 0.914
S 0.250 0.224 0.684
S 0.250 0.498 0.280
S 0.750 0.851 0.009
S 0.750 0.502 0.720
S 0.250 0.941 0.586
Nd 0.750 0.605 0.902
Nd 0.250 0.395 0.098
Nd 0.250 0.938 0.890
Nd 0.250 0.438 0.610
Nd 0.750 0.062 0.110
Nd 0.750 0.562 0.390
Nd 0.750 0.105 0.598
Nd 0.250 0.895 0.402
Ba 0.250 0.237 0.342
Ba 0.750 0.263 0.842
Ba 0.750 0.763 0.658
Ba 0.250 0.737 0.158

=====

No. 7
Material: BaNd2S4
Method: DFT, meta-GGA SCAN
State: single point on PBEsol structure

Calculated values
Total magnetic moment   0.00 μB per atom
Symmetry   I-42d (122)
Electronic total energy   -25.947 eV/atom
Density   5.56 g/cm³
Formation energy without anion corrections   -54.04 kcal/mol of atoms

Lattice parameters (Å, degrees): 7.548 7.548 7.548 109.47 109.47 109.47
Fractional positions:
S 0.393 0.479 0.246
S 0.729 0.143 0.746
S 0.521 0.767 0.914
S 0.233 0.147 0.754
S 0.857 0.603 0.586
S 0.017 0.271 0.414
S 0.397 0.983 0.254
S 0.853 0.607 0.086
Nd 0.500 0.375 0.625
Nd 0.125 0.500 0.875
Nd 0.625 0.250 0.125
Nd 0.750 0.875 0.375
Ba 0.250 0.750 0.500
Ba 0.000 0.000 0.000

=====

No. 8
Material: BaNdSn2S6
Method: DFT, meta-GGA SCAN
State: single point on PBEsol structure

Calculated values
Total magnetic moment   0.00 μB per atom
Symmetry   Pmc2_1 (26)
Electronic total energy   -22.617 eV/atom
Density   5.04 g/cm³
Formation energy without anion corrections   -30.96 kcal/mol of atoms

Lattice parameters (Å, degrees): 3.982 11.868 19.819 90.00 90.00 90.00
Fractional positions:
Sn 0.000 0.949 0.424
Sn 0.000 0.499 0.249
Sn 0.000 0.999 0.751
Sn 0.000 0.007 0.092
Sn 0.000 0.449 0.576
Sn 0.500 0.900 0.255
Sn 0.500 0.400 0.745
Sn 0.000 0.507 0.908
S 0.000 0.548 0.684
S 0.000 0.331 0.838
S 0.500 0.442 0.986
S 0.000 0.495 0.121
S 0.000 0.147 0.477
S 0.500 0.581 0.832
S 0.500 0.623 0.261
S 0.000 0.794 0.768
S 0.000 0.767 0.361
S 0.000 0.048 0.316
S 0.000 0.267 0.639
S 0.500 0.942 0.014
S 0.000 0.995 0.879
S 0.000 0.961 0.625
S 0.000 0.647 0.523
S 0.000 0.206 0.043
S 0.000 0.706 0.957
S 0.000 0.831 0.162
S 0.500 0.403 0.505
S 0.000 0.294 0.232
S 0.500 0.903 0.495
S 0.500 0.081 0.168
S 0.000 0.461 0.375
S 0.500 0.123 0.739
Nd 0.500 0.817 0.878
Nd 0.500 0.124 0.581
Nd 0.500 0.317 0.122
Nd 0.500 0.624 0.419
Ba 0.500 0.246 0.363
Ba 0.500 0.183 0.921
Ba 0.500 0.746 0.637
Ba 0.500 0.683 0.079

=====

No. 9
Material: BaNd2ZnS5
Method: DFT, meta-GGA SCAN
State: single point on PBEsol structure

Calculated values
Total magnetic moment   0.00 μB per atom
Symmetry   I4/mcm (140)
Electronic total energy   -23.000 eV/atom
Density   5.29 g/cm³
Formation energy without anion corrections   -47.73 kcal/mol of atoms

Lattice parameters (Å, degrees): 7.784 8.710 7.784 63.46 90.00 116.54
Fractional positions:
S 0.716 0.732 0.484
S 0.216 0.732 0.284
S 0.000 0.000 0.000
S 0.016 0.732 0.784
S 0.500 0.000 0.500
S 0.284 0.268 0.516
S 0.784 0.268 0.716
S 0.984 0.268 0.216
S 0.484 0.268 0.016
S 0.516 0.732 0.984
Zn 0.750 0.500 0.750
Zn 0.250 0.500 0.250
Ba 0.750 0.500 0.250
Ba 0.250 0.500 0.750
Nd 0.661 0.000 0.161
Nd 0.839 0.000 0.661
Nd 0.161 0.000 0.339
Nd 0.339 0.000 0.839

=====

No. 10
Material: BaNi4O8
Method: DFT, meta-GGA SCAN
State: single point on PBEsol structure

Calculated values
Total magnetic moment   0.15 μB per atom
Symmetry   R-3m (166)
Electronic total energy   -13.292 eV/atom
Density   4.84 g/cm³
Formation energy without anion corrections   -33.19 kcal/mol of atoms

Lattice parameters (Å, degrees): 5.657 5.657 7.002 66.17 66.17 60.00
Site moments in Bohr magnetons follow the coordinates.
Fractional positions:
Ni 0.000 0.000 0.000  0.96
Ni 0.500 0.500 0.000  0.41
Ni 0.000 0.500 0.000  0.41
Ni 0.500 0.000 0.000  0.41
O 0.282 0.282 0.155  -0.06
O 0.220 0.220 0.844  -0.02
O 0.284 0.780 0.156  -0.02
O 0.716 0.220 0.844  -0.02
O 0.780 0.284 0.156  -0.02
O 0.780 0.780 0.156  -0.02
O 0.220 0.716 0.844  -0.02
O 0.718 0.718 0.845  -0.06
Ba 0.500 0.500 0.500  0.02

=====

No. 11
Material: Ba6Ni5O15
Method: DFT, meta-GGA SCAN
State: single point on PBEsol structure

Calculated values
Total magnetic moment   0.08 μB per atom
Symmetry   R32 (155)
Electronic total energy   -17.889 eV/atom
Density   6.31 g/cm³
Formation energy without anion corrections   -47.42 kcal/mol of atoms

Lattice parameters (Å, degrees): 7.102 7.102 7.102 87.90 87.90 87.90
Site moments in Bohr magnetons follow the coordinates.
Fractional positions:
O 0.193 0.332 0.038  0.00
O 0.332 0.038 0.193  0.00
O 0.234 0.527 0.371  0.06
O 0.629 0.473 0.766  0.06
O 0.668 0.807 0.962  0.00
O 0.146 0.000 0.854  0.00
O 0.038 0.193 0.332  0.00
O 0.962 0.668 0.807  0.00
O 0.000 0.854 0.146  0.00
O 0.371 0.234 0.527  0.06
O 0.807 0.962 0.668  0.00
O 0.854 0.146 0.000  0.00
O 0.766 0.629 0.473  0.06
O 0.473 0.766 0.629  0.06
O 0.527 0.371 0.234  0.06
Ni 0.905 0.905 0.905  0.01
Ni 0.500 0.500 0.500  1.65
Ni 0.711 0.711 0.711  -0.03
Ni 0.289 0.289 0.289  -0.03
Ni 0.095 0.095 0.095  0.01
Ba 0.149 0.851 0.500  0.00
Ba 0.851 0.500 0.149  0.00
Ba 0.500 0.149 0.851  0.00
Ba 0.335 0.665 0.000  0.00
Ba 0.000 0.335 0.665  0.00
Ba 0.665 0.000 0.335  0.00

=====

No. 12
Material: Ba2NiO
Method: DFT, meta-GGA SCAN
State: single point on PBEsol structure

Calculated values
Total magnetic moment   0.02 μB per atom
Symmetry   Fm-3m (225)
Electronic total energy   -26.073 eV/atom
Density   6.65 g/cm³
Formation energy without anion corrections   -16.07 kcal/mol of atoms

Lattice parameters (Å, degrees): 4.979 4.979 4.979 60.00 60.00 60.00
Site moments in Bohr magnetons follow the coordinates.
Fractional positions:
Ni 0.500 0.500 0.500  0.10
Ba 0.750 0.750 0.750  -0.01
Ba 0.250 0.250 0.250  -0.01
O 0.000 0.000 0.000  0.01

=====

Among the records above, which one has the highest electronic total energy? BaNi4O8